w) Re2RhCl after structural relaxation, computed with GGA-PBEsol.

a b c (Å): 2.8177 4.4953 5.1592
angles (deg): 115.83 105.85 90.00
Element x y z (fractional)
Re  0.2573  0.7573  0.5147
Rh  0.4853  0.4853  0.9706
Cl  0.7419  0.2419  0.4838
Re  0.0155  0.0155  0.0310

Calculated values
N(E_F) (states/eV/cell): 3.6
SG: Imm2 (44)

***

x) Re2RhCl after structural relaxation, computed with GGA-PBEsol.

a b c (Å): 2.6958 3.5848 6.1273
angles (deg): 90.00 90.00 90.00
Element x y z (fractional)
Re  0.0000  0.0000  0.2253
Re  0.0000  0.0000  0.7747
Cl  0.5000  0.5000  0.5000
Rh  0.5000  0.5000  0.0000

Calculated values
N(E_F) (states/eV/cell): 3.7
SG: Pmmm (47)

***

y) Re2RhCl after structural relaxation, computed with GGA-PBEsol.

a b c (Å): 2.7972 3.9553 5.3040
angles (deg): 90.00 105.29 90.00
Element x y z (fractional)
Re  0.5626  0.5000  0.1252
Rh  0.9398  0.0000  0.8797
Cl  0.3315  0.5000  0.6631
Re  0.1941  0.0000  0.3882

Calculated values
N(E_F) (states/eV/cell): 3.4
SG: Amm2 (38)

***

What should be chosen as the least stable of them? Choose x).